The following is a DFT calculation (GGA-PBE) of a relaxed CePuScIr crystal.

Cell lengths 4.9331, 4.9331, 4.9331 Å; angles 60.00, 60.00, 60.00 degrees
With the nearest neighbours (Å) after each atom.
Fractional positions:
Ce (0.0000, 0.0000, 0.0000)  4 Ir 3.02, 4 Pu 3.02
Pu (0.7500, 0.7500, 0.7500)  4 Sc 3.02, 4 Ce 3.02
Sc (0.5000, 0.5000, 0.5000)  4 Pu 3.02, 4 Ir 3.02
Ir (0.2500, 0.2500, 0.2500)  4 Sc 3.02, 4 Ce 3.02

Values from the calculation:
The value obtained for the magnetic moment is 7.27 μB/cell. As for the density of states at the Fermi level: 2.820 states/eV/atom. The value obtained for the energy of formation is -0.25 eV per atom. The volume comes out at 84.89 Å³/cell. As for the space group: F-43m.